Compound: Ho2ThPa
Source: the Alexandria database
Functional: PBE
Structure: optimized geometry

Cell lengths 5.8143, 5.8143, 3.5200 Å; angles 90.00, 90.00, 90.00 degrees
Atoms (fractional coordinates):
Ho: 0.0000 0.5000 0.0000
Ho: 0.5000 0.0000 0.0000
Th: 0.0000 0.0000 0.5000
Pa: 0.5000 0.5000 0.5000

## Properties
For the spin magnetization, the calculation gives 0.620 μB per formula unit. As for the crystal system: tetragonal. Its volume is 29.7 Å³ per atom. Its space group is P4/mmm, No. 123. The value obtained for the energy above the lowest structure with this stoichiometry is 0.60 eV per formula unit.

---

Compound: HoErGaNi
Source: the Alexandria database
Functional: PBE
Structure: optimized geometry

Cell lengths 4.3335, 5.6817, 5.6817 Å; angles 37.91, 90.00, 90.00 degrees
Atoms (fractional coordinates):
Ho: 0.0000 0.0000 0.0000
Er: 0.5000 0.7161 0.7161
Ga: 0.5000 0.4297 0.4297
Ni: 0.0000 0.2909 0.2909

## Properties
For the spin magnetization, the calculation gives 0.000 μB per formula unit. As for the crystal system: orthorhombic. Its volume is 21.5 Å³ per atom. Its space group is Amm2, No. 38. The value obtained for the energy above the lowest structure with this stoichiometry is 0.00 eV per formula unit.

---

Compound: Li4Tl5Ag
Source: the Alexandria database
Functional: PBE
Structure: optimized geometry

Cell lengths 3.5236, 3.5236, 17.3640 Å; angles 90.00, 90.00, 90.00 degrees
Atoms (fractional coordinates):
Li: 0.0000 0.0000 0.0981
Li: 0.0000 0.0000 0.2956
Li: 0.0000 0.0000 0.7044
Li: 0.0000 0.0000 0.9019
Tl: 0.5000 0.5000 0.0000
Tl: 0.5000 0.5000 0.1964
Tl: 0.5000 0.5000 0.3952
Tl: 0.5000 0.5000 0.6048
Tl: 0.5000 0.5000 0.8036
Ag: 0.0000 0.0000 0.5000

## Properties
The energy is -23.87 eV per cell. For the spin magnetization, the calculation gives 0.000 μB per formula unit. As for the crystal system: tetragonal. Its volume is 21.6 Å³ per atom. Its space group is P4/mmm, No. 123.

---

Question: Which of these has the highest spin magnetization?
Answer: Ho2ThPa

---

Question: Among the records above, which one has the highest spin magnetization?
Answer: Ho2ThPa